Computed, not measured: a relaxed LaTlV2F crystal at the GGA+U level of DFT.

Lattice parameters (Å, degrees): 5.489 6.334 5.489 90.00 90.00 90.00
Last column: magnetic moment on the atom in μB.
Sites, in units of the cell vectors:
V (0.000, 0.000, 0.500)  2.76
V (0.500, 0.000, 0.000)  3.07
F (0.500, 0.500, 0.500)  0.02
La (0.000, 0.000, 0.000)  0.04
Tl (0.000, 0.500, 0.000)  -0.06

Computed properties:
Calculated volume (Å³/cell): 190.83
Final energy (eV for the cell shown): -16.7